Sc3Cu2Ag4 (PBE-GGA, optimized geometry); energy = -4.44 eV/atom; DOS(E_F) = 6.49 states/eV/f.u.
1.0
4.957 0.125 0.487
0.696 7.855 2.681
0.353 -0.514 8.306
Ag Sc Cu
8 6 4
Direct
0.473 0.930 0.186
0.527 0.070 0.814
0.634 0.831 0.598
0.973 0.186 0.930
0.134 0.598 0.831
0.866 0.402 0.169
0.366 0.169 0.402
0.027 0.814 0.070
0.250 0.385 0.615
0.080 0.957 0.698
0.750 0.615 0.385
0.420 0.302 0.043
0.580 0.698 0.957
0.920 0.043 0.302
0.188 0.733 0.471
0.688 0.471 0.733
0.312 0.529 0.267
0.812 0.267 0.529

---

Sc2CuAg (PBE-GGA, optimized geometry); energy = -4.90 eV/atom; DOS(E_F) = 4.66 states/eV/f.u.
1.0
8.525 -0.032 -0.019
7.872 3.273 -0.019
7.872 1.556 2.880
Ag Sc Cu
1 2 1
Direct
0.250 0.250 0.250
0.492 0.492 0.492
0.008 0.008 0.008
0.750 0.750 0.750

---

Sc4CuAg (PBE-GGA, optimized geometry); ΔE to the lowest computed polymorph = 0.0 meV/atom; DOS(E_F) = 7.34 states/eV/f.u.
1.0
-2.909 -1.515 -0.173
0.724 -1.046 -3.028
4.764 -9.659 4.476
Sc Cu Ag
4 1 1
Direct
0.000 0.000 0.338
0.500 0.500 0.139
0.500 0.500 0.861
0.000 0.000 0.662
0.000 0.000 0.000
0.500 0.500 0.500

---

Sc4CuAg (PBE-GGA, optimized geometry); ΔE to the lowest computed polymorph = 591.4 meV/atom; DOS(E_F) = 6.86 states/eV/f.u.
1.0
0.000 4.021 4.021
4.021 0.000 4.021
4.021 4.021 0.000
Sc Cu Ag
4 1 1
Direct
0.375 0.876 0.375
0.876 0.375 0.375
0.375 0.375 0.375
0.375 0.375 0.876
0.000 0.000 0.000
0.750 0.750 0.750